No. 1
# Ta2CdRe | Alexandria | PBEsol | optimized geometry
# - total magnetization (μB per cell) = 0.00
# - energy of formation from the pure elements (eV/atom) = 0.15
data_Ta2CdRe
_space_group_name_H-M_alt 'C m m 2'
_space_group_IT_number 35
_cell_length_a 3.213
_cell_length_b 4.573
_cell_length_c 9.374
_cell_angle_alpha 90.00
_cell_angle_beta 90.00
_cell_angle_gamma 90.00
loop_
_space_group_symop_operation_xyz
'x,y,z'
'-x,-y,z'
'-x,y,z'
'x,-y,z'
'x+1/2,y+1/2,z'
'-x+1/2,-y+1/2,z'
'-x+1/2,y+1/2,z'
'x+1/2,-y+1/2,z'
loop_
_atom_site_label
_atom_site_fract_x
_atom_site_fract_y
_atom_site_fract_z
Ta1 0.000 0.000 0.000
Ta2 0.000 0.500 0.250
Cd1 0.000 0.000 0.518
Re1 0.000 0.500 0.775

***

No. 2
# TaCdRe2 | Alexandria | PBEsol | optimized geometry
# - total magnetization (μB per cell) = 0.00
# - energy of formation from the pure elements (eV/atom) = 0.49
data_TaCdRe2
_space_group_name_H-M_alt 'P 4/m m m'
_space_group_IT_number 123
_space_group_name_Hall '-P 4 2'
_cell_length_a 2.737
_cell_length_b 2.737
_cell_length_c 8.772
_cell_angle_alpha 90.00
_cell_angle_beta 90.00
_cell_angle_gamma 90.00
loop_
_atom_site_label
_atom_site_fract_x
_atom_site_fract_y
_atom_site_fract_z
Ta1 0.000 0.000 0.000
Cd1 0.000 0.000 0.500
Re1 0.500 0.500 0.244